Record 1
The following is a PBE-GGA calculation of an optimized crystal structure of GaCoRh3, from Alexandria via LeMat-Bulk.

The density of states at the Fermi level is 7.4 states/eV/cell. The value obtained for the energy relative to the elements is 23.71 kcal/mol of atoms. The relative energy among the computed polymorphs is 0.186 eV/atom.

The structure belongs to space group Pm-3m (No. 221); the cell edges are 4.499, 4.499 and 4.499 Å and the angles 90.00°, 90.00° and 90.00°. The asymmetric unit holds Ga at (0.000, 0.000, 0.000), Co at (0.500, 0.500, 0.500) and Rh at (0.000, 0.000, 0.500).

---

Record 2
The following is a PBE-GGA calculation of an optimized crystal structure of GaCoRh2, from Alexandria via LeMat-Bulk.

The density of states at the Fermi level is 5.5 states/eV/cell. The value obtained for the energy relative to the elements is -6.43 kcal/mol of atoms.

The structure belongs to space group P4/mmm (No. 123); the cell edges are 4.272, 4.272 and 2.954 Å and the angles 90.00°, 90.00° and 90.00°. The asymmetric unit holds Ga at (0.000, 0.000, 0.000), Co at (0.500, 0.500, 0.000) and Rh at (0.000, 0.500, 0.500).

---

Record 3
The following is a PBE-GGA calculation of an optimized crystal structure of Ga3CoRh, from Alexandria via LeMat-Bulk.

The density of states at the Fermi level is 20.6 states/eV/cell. The value obtained for the energy relative to the elements is -8.95 kcal/mol of atoms. The relative energy among the computed polymorphs is 0.000 eV/atom.

The structure belongs to space group Imma (No. 74); the cell edges are 4.147, 11.631 and 12.404 Å and the angles 90.00°, 90.00° and 90.00°. The asymmetric unit holds Ga at (0.000, 0.126, 0.003), Ga at (0.000, 0.128, 0.661), Ga at (0.000, 0.132, 0.344), Co at (0.000, 0.250, 0.504), Co at (0.000, 0.250, 0.836) and Rh at (0.000, 0.002, 0.170).

---

Record 4
The following is a PBE-GGA calculation of an optimized crystal structure of Ga8CoRh2, from Alexandria via LeMat-Bulk.

The density of states at the Fermi level is 9.8 states/eV/cell. The value obtained for the energy relative to the elements is -7.74 kcal/mol of atoms.

The structure belongs to space group C2/m (No. 12); the cell edges are 16.739, 4.021 and 5.273 Å and the angles 90.00°, 104.93° and 90.00°. The asymmetric unit holds Ga at (0.026, 0.000, 0.280), Ga at (0.102, 0.500, 0.758), Ga at (0.140, 0.500, 0.295), Ga at (0.221, 0.000, 0.131), Co at (0.000, 0.500, 0.000) and Rh at (0.192, 0.000, 0.620).

---

Record 5
The following is a PBE-GGA calculation of an optimized crystal structure of GaCoRuRh, from Alexandria via LeMat-Bulk.

The density of states at the Fermi level is 26.1 states/eV/cell. The value obtained for the energy relative to the elements is -3.38 kcal/mol of atoms.

The structure belongs to space group F-43m (No. 216); the cell edges are 5.993, 5.993 and 5.993 Å and the angles 90.00°, 90.00° and 90.00°. The asymmetric unit holds Ga at (0.000, 0.000, 0.000), Co at (0.000, 0.000, 0.500), Ru at (0.250, 0.250, 0.750) and Rh at (0.250, 0.250, 0.250).

---

Record 6
The following is a PBE-GGA calculation of an optimized crystal structure of Sc2Ga5Co2Rh, from Alexandria via LeMat-Bulk.

The density of states at the Fermi level is 15.2 states/eV/cell. The value obtained for the energy relative to the elements is -11.32 kcal/mol of atoms.

The structure belongs to space group P4/mbm (No. 127); the cell edges are 8.794, 8.794 and 3.938 Å and the angles 90.00°, 90.00° and 90.00°. The asymmetric unit holds Sc at (0.176, 0.324, 0.000), Ga at (0.000, 0.500, 0.500), Ga at (0.066, 0.795, 0.500), Co at (0.117, 0.617, 0.000) and Rh at (0.000, 0.000, 0.000).

---

Record 7
The following is a PBE-GGA calculation of an optimized crystal structure of Sc5Ga2Co2Rh, from Alexandria via LeMat-Bulk.

The density of states at the Fermi level is 9.2 states/eV/cell. The value obtained for the energy relative to the elements is -10.59 kcal/mol of atoms.

The structure belongs to space group P4/mbm (No. 127); the cell edges are 10.609, 10.609 and 3.217 Å and the angles 90.00°, 90.00° and 90.00°. The asymmetric unit holds Sc at (0.000, 0.500, 0.000), Sc at (0.075, 0.199, 0.000), Ga at (0.174, 0.674, 0.500), Co at (0.136, 0.364, 0.500) and Rh at (0.000, 0.000, 0.500).

---

Record 8
The following is a PBE-GGA calculation of an optimized crystal structure of Sc4GaCo2Rh, from Alexandria via LeMat-Bulk.

The density of states at the Fermi level is 12.6 states/eV/cell. The value obtained for the energy relative to the elements is -13.06 kcal/mol of atoms.

The structure belongs to space group R-3m (No. 166, hexagonal axes); the cell edges are 4.5364, 4.5364 and 22.3813 Å and the angles 90.00°, 90.00° and 120.00°. The asymmetric unit holds Sc at (0.0000, 0.0000, 0.1221), Sc at (0.0000, 0.0000, 0.3730), Ga at (0.0000, 0.0000, 0.5000), Co at (0.0000, 0.0000, 0.2491) and Rh at (0.0000, 0.0000, 0.0000).

---

Record 9
The following is a PBE-GGA calculation of an optimized crystal structure of ScGa4Co2Rh, from Alexandria via LeMat-Bulk.

The density of states at the Fermi level is 11.0 states/eV/cell. The value obtained for the energy relative to the elements is -9.70 kcal/mol of atoms.

The structure belongs to space group R-3m (No. 166, hexagonal axes); the cell edges are 4.0762, 4.0762 and 24.6413 Å and the angles 90.00°, 90.00° and 120.00°. The asymmetric unit holds Sc at (0.0000, 0.0000, 0.0000), Ga at (0.0000, 0.0000, 0.1264), Ga at (0.0000, 0.0000, 0.3950), Co at (0.0000, 0.0000, 0.2387) and Rh at (0.0000, 0.0000, 0.5000).

---

Record 10
The following is a PBE-GGA calculation of an optimized crystal structure of GaCoSiRh, from Alexandria via LeMat-Bulk.

The density of states at the Fermi level is 6.1 states/eV/cell. The uncorrected formation energy is -43 kJ per mole of atoms.

The structure belongs to space group F-43m (No. 216); the cell edges are 5.874, 5.874 and 5.874 Å and the angles 90.00°, 90.00° and 90.00°. The asymmetric unit holds Ga at (0.000, 0.000, 0.000), Co at (0.250, 0.250, 0.750), Si at (0.000, 0.000, 0.500) and Rh at (0.250, 0.250, 0.250).

---

Record 11
The following is a PBE-GGA calculation of an optimized crystal structure of SmGa2CoRh, from Alexandria via LeMat-Bulk.

The density of states at the Fermi level is 5.0 states/eV/cell. The value obtained for the energy relative to the elements is -13.63 kcal/mol of atoms.

The structure belongs to space group I-4m2 (No. 119); the cell edges are 4.179, 4.179 and 10.077 Å and the angles 90.00°, 90.00° and 90.00°. The asymmetric unit holds Sm at (0.000, 0.000, 0.000), Ga at (0.000, 0.000, 0.372), Co at (0.000, 0.500, 0.250) and Rh at (0.000, 0.500, 0.750).

---

Record 12
The following is a PBE-GGA calculation of an optimized crystal structure of GaCoSnRh, from Alexandria via LeMat-Bulk.

The density of states at the Fermi level is 5.8 states/eV/cell. The value obtained for the energy relative to the elements is -5.51 kcal/mol of atoms.

The structure belongs to space group F-43m (No. 216); the cell edges are 6.215, 6.215 and 6.215 Å and the angles 90.00°, 90.00° and 90.00°. The asymmetric unit holds Ga at (0.000, 0.000, 0.000), Co at (0.250, 0.250, 0.250), Sn at (0.000, 0.000, 0.500) and Rh at (0.250, 0.250, 0.750).

---

Record 13
The following is a PBE-GGA calculation of an optimized crystal structure of SrGa3CoRh, from Alexandria via LeMat-Bulk.

The density of states at the Fermi level is 16.1 states/eV/cell. The value obtained for the energy relative to the elements is -8.67 kcal/mol of atoms.

The structure belongs to space group Cmcm (No. 63); the cell edges are 7.445, 11.036 and 5.959 Å and the angles 90.00°, 90.00° and 90.00°. The asymmetric unit holds Sr at (0.000, 0.230, 0.250), Ga at (0.000, 0.285, 0.750), Ga at (0.250, 0.000, 0.000), Co at (0.000, 0.486, 0.750) and Rh at (0.000, 0.071, 0.750).

---

Record 14
The following is a PBE-GGA calculation of an optimized crystal structure of TbGa3CoRh, from Alexandria via LeMat-Bulk.

The density of states at the Fermi level is 12.4 states/eV/cell. The value obtained for the energy relative to the elements is -9.52 kcal/mol of atoms.

The structure belongs to space group Cmcm (No. 63); the cell edges are 7.717, 10.521 and 5.458 Å and the angles 90.00°, 90.00° and 90.00°. The asymmetric unit holds Tb at (0.000, 0.210, 0.250), Ga at (0.000, 0.322, 0.750), Ga at (0.250, 0.000, 0.000), Co at (0.000, 0.458, 0.250) and Rh at (0.000, 0.088, 0.750).

---

Record 15
The following is a PBE-GGA calculation of an optimized crystal structure of TbGaCoRh, from Alexandria via LeMat-Bulk.

The density of states at the Fermi level is 4.0 states/eV/cell. The value obtained for the energy relative to the elements is -11.11 kcal/mol of atoms.

The structure belongs to space group F-43m (No. 216); the cell edges are 6.363, 6.363 and 6.363 Å and the angles 90.00°, 90.00° and 90.00°. The asymmetric unit holds Tb at (0.000, 0.000, 0.000), Ga at (0.000, 0.000, 0.500), Co at (0.250, 0.250, 0.250) and Rh at (0.250, 0.250, 0.750).

---

Record 16
The following is a PBE-GGA calculation of an optimized crystal structure of TbGa4CoRh2, from Alexandria via LeMat-Bulk.

The density of states at the Fermi level is 8.8 states/eV/cell. The value obtained for the energy relative to the elements is -13.83 kcal/mol of atoms.

The structure belongs to space group R-3m (No. 166, hexagonal axes); the cell edges are 4.1874, 4.1874 and 25.5763 Å and the angles 90.00°, 90.00° and 120.00°. The asymmetric unit holds Tb at (0.0000, 0.0000, 0.0000), Ga at (0.0000, 0.0000, 0.1338), Ga at (0.0000, 0.0000, 0.4012), Co at (0.0000, 0.0000, 0.5000) and Rh at (0.0000, 0.0000, 0.2348).

---

Record 17
The following is a PBE-GGA calculation of an optimized crystal structure of TiGaCoRh2, from Alexandria via LeMat-Bulk.

The density of states at the Fermi level is 0.9 states/eV/cell. The value obtained for the energy relative to the elements is 14.62 kcal/mol of atoms.

The structure belongs to space group P4/mmm (No. 123); the cell edges are 4.549, 4.549 and 4.210 Å and the angles 90.00°, 90.00° and 90.00°. The asymmetric unit holds Ti at (0.000, 0.000, 0.000), Ga at (0.500, 0.500, 0.500), Co at (0.000, 0.000, 0.500) and Rh at (0.000, 0.500, 0.000).

---

Record 18
The following is a PBE-GGA calculation of an optimized crystal structure of Tm2Ga5Co2Rh, from Alexandria via LeMat-Bulk.

The density of states at the Fermi level is 16.5 states/eV/cell. The value obtained for the energy relative to the elements is -10.61 kcal/mol of atoms.

The structure belongs to space group P4/mbm (No. 127); the cell edges are 9.035, 9.035 and 3.969 Å and the angles 90.00°, 90.00° and 90.00°. The asymmetric unit holds Tm at (0.180, 0.320, 0.000), Ga at (0.000, 0.500, 0.500), Ga at (0.060, 0.795, 0.500), Co at (0.114, 0.614, 0.000) and Rh at (0.000, 0.000, 0.000).

---

Record 19
The following is a PBE-GGA calculation of an optimized crystal structure of TmGa4CoRh2, from Alexandria via LeMat-Bulk.

The density of states at the Fermi level is 9.2 states/eV/cell. The value obtained for the energy relative to the elements is -13.42 kcal/mol of atoms.

The structure belongs to space group R-3m (No. 166, hexagonal axes); the cell edges are 4.1771, 4.1771 and 25.2235 Å and the angles 90.00°, 90.00° and 120.00°. The asymmetric unit holds Tm at (0.0000, 0.0000, 0.0000), Ga at (0.0000, 0.0000, 0.1336), Ga at (0.0000, 0.0000, 0.3994), Co at (0.0000, 0.0000, 0.5000) and Rh at (0.0000, 0.0000, 0.2365).

---

Record 20
The following is a PBE-GGA calculation of an optimized crystal structure of YGaCoRh, from Alexandria via LeMat-Bulk.

The density of states at the Fermi level is 3.3 states/eV/cell. The value obtained for the energy relative to the elements is -10.93 kcal/mol of atoms.

The structure belongs to space group F-43m (No. 216); the cell edges are 6.360, 6.360 and 6.360 Å and the angles 90.00°, 90.00° and 90.00°. The asymmetric unit holds Y at (0.000, 0.000, 0.000), Ga at (0.000, 0.000, 0.500), Co at (0.250, 0.250, 0.750) and Rh at (0.250, 0.250, 0.250).